No. 1
Entry from Alexandria: a relaxed Sr2Li3MgBi4 crystal (GGA-PBE).

Unit cell a=4.8445 b=4.8445 c=11.9887 alpha=90.00 beta=90.00 gamma=90.00
Positions (direct):
Li: 0.5000 0.0000 0.8701
Mg: 0.5000 0.5000 0.5000
Bi: 0.0000 0.5000 0.3564
Sr: 0.0000 0.5000 0.7618
Bi: 0.5000 0.0000 0.6436
Li: 0.0000 0.0000 0.5000
Li: 0.0000 0.5000 0.1299
Sr: 0.5000 0.0000 0.2382
Bi: 0.5000 0.5000 0.0000
Bi: 0.0000 0.0000 0.0000

The total energy comes out at -3.265 eV per atom. The density of states at the Fermi level is 0.785 states/eV per cell. The space group is No. 115. The total magnetic moment is 0.000 μB/f.u.

***

No. 2
Entry from Alexandria: a relaxed LiMg7Tl2Bi2 crystal (GGA-PBE).

Unit cell a=4.9682 b=4.9682 c=14.6561 alpha=70.15 beta=70.15 gamma=89.40
Positions (direct):
Mg: 0.5000 0.5000 0.0000
Mg: 0.3616 0.8635 0.1388
Bi: 0.2844 0.2844 0.7139
Mg: 0.8635 0.3616 0.1388
Tl: 0.8057 0.8057 0.6922
Li: 0.0000 0.0000 0.0000
Tl: 0.1943 0.1943 0.3078
Mg: 0.1365 0.6384 0.8612
Mg: 0.7340 0.7340 0.4997
Mg: 0.2660 0.2660 0.5003
Mg: 0.6384 0.1365 0.8612
Bi: 0.7156 0.7156 0.2861

The total energy comes out at -2.153 eV per atom. The density of states at the Fermi level is 4.984 states/eV per cell. The space group is No. 12. The total magnetic moment is 0.000 μB/f.u.

***

No. 3
Entry from Alexandria: a relaxed LiMgZnBi crystal (GGA-PBE).

Unit cell a=4.9843 b=4.9843 c=4.9843 alpha=60.00 beta=60.00 gamma=60.00
Positions (direct):
Zn: 0.2500 0.2500 0.2500
Mg: 0.5000 0.5000 0.5000
Bi: 0.7500 0.7500 0.7500
Li: 0.0000 0.0000 0.0000

The total energy comes out at -2.366 eV per atom. The space group is No. 216. The total magnetic moment is 0.000 μB/f.u.

***

No. 4
Entry from Alexandria: a relaxed LiMgZr2Bi crystal (GGA-PBE).

Unit cell a=4.8592 b=4.7724 c=4.8592 alpha=90.00 beta=90.00 gamma=90.00
Positions (direct):
Mg: 0.5000 0.5000 0.5000
Li: 0.0000 0.0000 0.0000
Bi: 0.0000 0.5000 0.0000
Zr: 0.5000 0.0000 0.0000
Zr: 0.0000 0.0000 0.5000

The total energy comes out at -4.462 eV per atom. The density of states at the Fermi level is 3.551 states/eV per cell. The space group is No. 123. The total magnetic moment is 0.000 μB/f.u.

***

No. 5
Entry from Alexandria: a relaxed LiMn3Bi crystal (GGA-PBE).

Unit cell a=5.1769 b=5.1769 c=5.1769 alpha=90.00 beta=90.00 gamma=90.00
Positions (direct):
Mn: 0.5000 0.0000 0.0000
Mn: 0.0000 0.0000 0.5000
Bi: 0.0000 0.0000 0.0000
Mn: 0.0000 0.5000 0.0000
Li: 0.5000 0.5000 0.5000

The value obtained for the energy above the most stable polymorph in this dataset is 357.8 meV/atom. The density of states at the Fermi level is 6.550 states/eV per cell. The space group is No. 221. The total magnetic moment is 11.157 μB/f.u.

***

No. 6
Entry from Alexandria: a relaxed LiMn3Bi crystal (GGA-PBE).

Unit cell a=4.4761 b=4.4761 c=4.4761 alpha=90.00 beta=90.00 gamma=90.00
Positions (direct):
Mn: 0.5000 0.0000 0.0000
Mn: 0.0000 0.5000 0.0000
Bi: 0.5000 0.5000 0.5000
Li: 0.0000 0.0000 0.0000
Mn: 0.0000 0.0000 0.5000

The value obtained for the energy above the most stable polymorph in this dataset is 0.0 meV/atom. The density of states at the Fermi level is 1.855 states/eV per cell. The space group is No. 221. The total magnetic moment is 10.926 μB/f.u.

***

No. 7
Entry from Alexandria: a relaxed LiMn2BiN crystal (GGA-PBE).

Unit cell a=4.0290 b=4.0290 c=4.4069 alpha=90.00 beta=90.00 gamma=90.00
Positions (direct):
Mn: 0.5000 0.0000 0.0000
N: 0.0000 0.0000 0.0000
Bi: 0.5000 0.5000 0.5000
Li: 0.0000 0.0000 0.5000
Mn: 0.0000 0.5000 0.0000

The density of states at the Fermi level is 4.029 states/eV per cell. The space group is No. 123. The formation energy (no corrections) is -0.6 eV/f.u. The total magnetic moment is 6.551 μB/f.u.

***

No. 8
Entry from Alexandria: a relaxed Li2MnBiN crystal (GGA-PBE).

Unit cell a=4.3197 b=4.3197 c=3.7763 alpha=90.00 beta=90.00 gamma=90.00
Positions (direct):
N: 0.0000 0.0000 0.0000
Mn: 0.0000 0.0000 0.5000
Li: 0.0000 0.5000 0.0000
Bi: 0.5000 0.5000 0.5000
Li: 0.5000 0.0000 0.0000

The density of states at the Fermi level is 2.266 states/eV per cell. The space group is No. 123. The formation energy (no corrections) is -1.4 eV/f.u. The total magnetic moment is 2.423 μB/f.u.

***

> Look up the total magnetic moment of the sixth one.

10.926 μB/f.u.